# 1
# Sr2SnSb

An optimized crystal structure of Sr2SnSb (PBE-GGA, Alexandria).

Results
* size of the total moment: 0.00 μB per formula unit
* formation energy (no corrections): -0.653 eV/atom
* final energy: -3.526 eV per atom

Lattice parameters (Å, degrees): 5.7504 5.7504 5.7504 60.00 60.00 60.00
With the nearest neighbours (Å) after each atom.
Fractional coordinates of all 4 atoms:
1 Sr 0.7500 0.7500 0.7500  4 Sn 3.52, 4 Sb 3.52
2 Sb 0.5000 0.5000 0.5000  8 Sr 3.52
3 Sn 0.0000 0.0000 0.0000  8 Sr 3.52
4 Sr 0.2500 0.2500 0.2500  4 Sb 3.52, 4 Sn 3.52

# 2
# KAu2Br

An optimized crystal structure of KAu2Br (PBE-GGA, Alexandria).

Results
* size of the total moment: 0.00 μB per formula unit
* formation energy (no corrections): 0.159 eV/atom
* final energy: -2.173 eV per atom

Lattice parameters (Å, degrees): 5.2790 5.2790 5.2790 60.00 60.00 60.00
With the nearest neighbours (Å) after each atom.
Fractional coordinates of all 4 atoms:
1 Au 0.7500 0.7500 0.7500  4 K 3.23, 4 Br 3.23
2 Au 0.2500 0.2500 0.2500  4 K 3.23, 4 Br 3.23
3 Br 0.5000 0.5000 0.5000  8 Au 3.23
4 K 0.0000 0.0000 0.0000  8 Au 3.23

# 3
# NdTmNiPd

An optimized crystal structure of NdTmNiPd (PBE-GGA, Alexandria).

Results
* size of the total moment: 0.00 μB per formula unit
* formation energy: -0.615 eV/atom
* final energy: -5.668 eV per atom

Lattice parameters (Å, degrees): 3.8095 4.4802 5.4926 90.00 110.29 90.00
With the nearest neighbours (Å) after each atom.
Fractional coordinates of all 4 atoms:
1 Nd 0.1427 0.0000 0.2854  3 Ni 2.84-3.00, 4 Pd 3.02
2 Tm 0.8638 0.5000 0.7276  3 Pd 2.89-2.97, 4 Ni 2.99
3 Ni 0.4182 0.0000 0.8364  2 Pd 2.76, 3 Nd 2.84-3.00, 4 Tm 2.99
4 Pd 0.5753 0.5000 0.1506  2 Ni 2.76, 3 Tm 2.89-2.97, 4 Nd 3.02

# 4
# H2IrPd4

An optimized crystal structure of H2IrPd4 (PBE-GGA, Alexandria).

Results
* size of the total moment: 0.00 μB per formula unit
* final energy: -4.333 eV per atom

Lattice parameters (Å, degrees): 4.8562 4.8562 5.7651 65.09 65.09 90.00
With the nearest neighbours (Å) after each atom.
Fractional coordinates of all 7 atoms:
1 H 0.5510 0.5510 0.8981  1 H 0.94
2 Pd 0.5000 0.0000 0.0000  2 Ir 2.43, 4 H 2.47
3 H 0.4490 0.4490 0.1019  1 H 0.94
4 Ir 0.0000 0.0000 0.0000  6 Pd 2.43-2.57
5 Pd 0.0000 0.5000 0.0000  2 Ir 2.43, 4 H 2.47
6 Pd 0.7222 0.7222 0.5556  1 H 1.59
7 Pd 0.2778 0.2778 0.4444  1 H 1.59

# 5
# Li2TaHg

An optimized crystal structure of Li2TaHg (PBE-GGA, Alexandria).

Results
* size of the total moment: 0.00 μB per formula unit
* formation energy: 0.350 eV/atom
* final energy: -3.645 eV per atom

Lattice parameters (Å, degrees): 5.7404 5.7404 5.7404 151.54 129.97 58.56
With the nearest neighbours (Å) after each atom.
Fractional coordinates of all 4 atoms:
1 Ta 0.4923 0.4923 0.0000  6 Li 2.81-3.11, 2 Ta 2.82, 2 Hg 2.98
2 Li 0.0078 0.0078 0.0000  2 Hg 2.64, 4 Li 2.77-2.82, 4 Ta 2.81
3 Hg 0.2305 0.7305 0.5000  6 Li 2.64-2.83, 2 Hg 2.82
4 Li 0.7694 0.2694 0.5000  4 Li 2.77-2.82, 4 Hg 2.83

# 6
# Tb2U2PaRu5

An optimized crystal structure of Tb2U2PaRu5 (PBE-GGA, Alexandria).

Results
* size of the total moment: 0.00 μB per formula unit
* formation energy: -0.332 eV/atom
* final energy: -9.103 eV per atom

Lattice parameters (Å, degrees): 3.6259 10.4987 10.4987 90.00 90.00 90.00
With the nearest neighbours (Å) after each atom.
Fractional coordinates of all 20 atoms:
1 Pa 0.0000 0.0000 0.0000  8 Ru 2.83
2 Ru 0.5000 0.7002 0.4490  2 U 2.66, 2 Pa 2.83
3 Ru 0.5000 0.4490 0.2998  2 U 2.66, 2 Pa 2.83
4 U 0.0000 0.3667 0.1333  6 Ru 2.66-2.68, 1 Tb 2.82
5 Ru 0.5000 0.2002 0.0510  2 U 2.66, 2 Pa 2.83
6 Tb 0.0000 0.6765 0.1765  1 U 2.82
7 Pa 0.0000 0.5000 0.5000  8 Ru 2.83
8 Ru 0.5000 0.7998 0.9490  2 U 2.66, 2 Pa 2.83
9 Tb 0.0000 0.1765 0.3235  1 U 2.82
10 U 0.0000 0.1333 0.6333  6 Ru 2.66-2.68, 1 Tb 2.82
11 Tb 0.0000 0.8235 0.6765  1 U 2.82
12 Ru 0.5000 0.0000 0.5000  4 U 2.68
13 Ru 0.5000 0.2998 0.5510  2 U 2.66, 2 Pa 2.83
14 Ru 0.5000 0.5510 0.7002  2 U 2.66, 2 Pa 2.83
15 U 0.0000 0.6333 0.8667  6 Ru 2.66-2.68, 1 Tb 2.82
16 Ru 0.5000 0.5000 0.0000  4 U 2.68
17 U 0.0000 0.8667 0.3667  6 Ru 2.66-2.68, 1 Tb 2.82
18 Ru 0.5000 0.9490 0.2002  2 U 2.66, 2 Pa 2.83
19 Tb 0.0000 0.3235 0.8235  1 U 2.82
20 Ru 0.5000 0.0510 0.7998  2 U 2.66, 2 Pa 2.83